1.
DFT (GGA-PBE) results for an optimized crystal structure of Ce6HgIr3.

Lattice parameters (Å, degrees): 8.865 8.865 6.960 90.00 90.00 103.68
Fractional coordinates of all 20 atoms:
Ce 0.005 0.995 0.500
Ce 0.095 0.501 0.513
Ce 0.232 0.768 0.761
Ce 0.278 0.395 0.954
Ce 0.395 0.278 0.454
Ce 0.499 0.905 0.513
Ce 0.501 0.095 0.013
Ce 0.605 0.722 0.954
Ce 0.722 0.605 0.454
Ce 0.768 0.232 0.261
Ce 0.905 0.499 0.013
Ce 0.995 0.005 0.000
Hg 0.208 0.792 0.228
Hg 0.792 0.208 0.728
Ir 0.093 0.264 0.252
Ir 0.264 0.093 0.752
Ir 0.428 0.572 0.641
Ir 0.572 0.428 0.141
Ir 0.736 0.907 0.252
Ir 0.907 0.736 0.752

Calculated values
Symmetry   Cmc2_1
D(E_F)   51.28 states/eV/cell
Spin magnetization   2.84 μB per formula unit

2.
DFT (GGA-PBE) results for an optimized crystal structure of Ce6HgIr.

Lattice parameters (Å, degrees): 6.194 6.194 6.317 101.18 101.18 101.71
Fractional coordinates of all 8 atoms:
Ce 0.087 0.669 0.691
Ce 0.318 0.318 0.900
Ce 0.331 0.913 0.309
Ce 0.669 0.087 0.691
Ce 0.682 0.682 0.100
Ce 0.913 0.331 0.309
Hg 0.500 0.500 0.500
Ir 0.000 0.000 0.000

Calculated values
Symmetry   C2/m
D(E_F)   24.30 states/eV/cell
Spin magnetization   2.78 μB per formula unit

Taking the records one at a time from the top gives ΔE_f values of -4.54 -1.17 eV per formula unit.